# 1
First-principles (PBE-GGA) data for crystalline InAgSn2Te4 at its relaxed geometry, as listed in Alexandria.

## Properties
V	29.97	Å³ per atom
formation energy (no corrections)	-0.22	eV per atom
total moment	0.000	μB per formula unit

a b c (Å): 7.5396 4.4314 7.6023
angles (deg): 90.00 109.26 90.00
Closest atoms and distances in Å follow each position.
Fractional coordinates of all 8 atoms:
In: 0.0000 0.0000 0.0000  6 Te 3.06-3.11
Ag: 0.0000 0.5000 0.5000  6 Te 3.01-3.05
Sn: 0.5000 0.0000 0.5000  6 Te 3.11-3.13
Sn: 0.5000 0.5000 0.0000  6 Te 3.17-3.18
Te: 0.2373 0.0000 0.7415  2 Ag 3.05, 1 In 3.06, 3 Sn 3.11-3.18
Te: 0.2421 0.5000 0.2552  1 Ag 3.01, 2 In 3.11, 3 Sn 3.13-3.17
Te: 0.7579 0.5000 0.7448  1 Ag 3.01, 2 In 3.11, 3 Sn 3.13-3.17
Te: 0.7627 0.0000 0.2585  2 Ag 3.05, 1 In 3.06, 3 Sn 3.11-3.18

=====

# 2
First-principles (PBE-GGA) data for crystalline La6PuO12 at its relaxed geometry, as listed in Alexandria.

## Properties
V	16.73	Å³ per atom
formation energy (no corrections)	-3.36	eV per atom
total moment	2.000	μB per formula unit

a b c (Å): 6.9108 6.9108 6.9108
angles (deg): 98.56 98.56 98.56
Closest atoms and distances in Å follow each position.
Fractional coordinates of all 19 atoms:
La: 0.1070 0.6441 0.8096  6 O 2.36-2.58
La: 0.1904 0.8930 0.3559  6 O 2.36-2.58
La: 0.3559 0.1904 0.8930  6 O 2.36-2.58
La: 0.6441 0.8096 0.1070  6 O 2.36-2.58
La: 0.8096 0.1070 0.6441  6 O 2.36-2.58
La: 0.8930 0.3559 0.1904  6 O 2.36-2.58
Pu: 0.5000 0.5000 0.5000  6 O 2.10
O: 0.0618 0.3229 0.9061  4 La 2.36-2.45
O: 0.0939 0.9382 0.6771  4 La 2.36-2.45
O: 0.2047 0.5411 0.4329  1 Pu 2.10
O: 0.3229 0.9061 0.0618  4 La 2.36-2.45
O: 0.4329 0.2047 0.5411  1 Pu 2.10
O: 0.4589 0.5671 0.7953  1 Pu 2.10
O: 0.5411 0.4329 0.2047  1 Pu 2.10
O: 0.5671 0.7953 0.4589  1 Pu 2.10
O: 0.6771 0.0939 0.9382  4 La 2.36-2.45
O: 0.7953 0.4589 0.5671  1 Pu 2.10
O: 0.9061 0.0618 0.3229  4 La 2.36-2.45
O: 0.9382 0.6771 0.0939  4 La 2.36-2.45

=====

# 3
First-principles (PBE-GGA) data for crystalline Pm2CuSnS5 at its relaxed geometry, as listed in Alexandria.

## Properties
V	21.15	Å³ per atom
formation energy (no corrections)	-1.26	eV per atom
total moment	0.000	μB per formula unit

a b c (Å): 8.5441 8.5441 11.7725
angles (deg): 90.00 90.00 153.70
Closest atoms and distances in Å follow each position.
Fractional coordinates of all 18 atoms:
Pm: 0.1156 0.8844 0.5000  8 S 2.91-2.98
Pm: 0.1186 0.8814 0.1184  8 S 2.85-3.05
Pm: 0.8814 0.1186 0.6184  8 S 2.85-3.05
Pm: 0.8844 0.1156 0.0000  8 S 2.91-2.98
Cu: 0.4987 0.5013 0.8021  4 S 2.28-2.39
Cu: 0.5013 0.4987 0.3021  4 S 2.28-2.39
Sn: 0.1893 0.8107 0.8152  6 S 2.63-2.79
Sn: 0.8107 0.1893 0.3152  6 S 2.63-2.79
S: 0.0394 0.9606 0.8849  2 Cu 2.28
S: 0.2916 0.7084 0.4770  2 Sn 2.74, 3 Pm 2.94-2.96
S: 0.2980 0.7020 0.1460  2 Sn 2.79, 3 Pm 2.97-3.00
S: 0.3552 0.6448 0.8125  1 Cu 2.39
S: 0.4935 0.5065 0.1078  1 Cu 2.29
S: 0.5065 0.4935 0.6078  1 Cu 2.29
S: 0.6448 0.3552 0.3125  1 Cu 2.39
S: 0.7020 0.2980 0.6460  2 Sn 2.79, 3 Pm 2.97-3.00
S: 0.7084 0.2916 0.9770  2 Sn 2.74, 3 Pm 2.94-2.96
S: 0.9606 0.0394 0.3849  2 Cu 2.28